# Nb2CuAg2Se6

A relaxed structure of Nb2CuAg2Se6 (PBE, Alexandria).

Values from the calculation:
**Formation energy without anion corrections**: -0.387 eV/atom
**Space-group type**: C2/m
**Mass density**: 6.44 g/cm3
**DFT total energy**: -55.1 eV for the cell shown

Cell lengths 6.5947, 6.5947, 6.5737 Å; angles 93.40, 93.40, 121.50 degrees
Closest atoms and distances in Å follow each position.
Fractional positions:
Nb 0.1334 0.8666 0.0000  6 Se 2.56-2.80
Nb 0.8666 0.1334 0.0000  6 Se 2.56-2.80
Cu 0.5000 0.5000 0.0000  6 Se 2.56-2.71
Ag 0.1700 0.8300 0.5000  4 Se 2.67-2.93
Ag 0.8300 0.1700 0.5000  4 Se 2.67-2.93
Se 0.1515 0.4925 0.7969  1 Cu 2.56, 2 Nb 2.63-2.80, 1 Ag 2.67
Se 0.2066 0.2066 0.2617  2 Nb 2.56, 1 Cu 2.71
Se 0.4925 0.1515 0.7969  1 Cu 2.56, 2 Nb 2.63-2.80, 1 Ag 2.67
Se 0.5075 0.8485 0.2031  1 Cu 2.56, 2 Nb 2.63-2.80, 1 Ag 2.67
Se 0.7934 0.7934 0.7383  2 Nb 2.56, 1 Cu 2.71
Se 0.8485 0.5075 0.2031  1 Cu 2.56, 2 Nb 2.63-2.80, 1 Ag 2.67


# YNi2BRu

A relaxed structure of YNi2BRu (PBE, Alexandria).

Values from the calculation:
**E_form**: -452 meV per atom
**Space-group type**: P4/mmm
**Mass density**: 7.80 g/cm3
**DFT total energy**: -36.2 eV for the cell shown

Cell lengths 4.0307, 4.0307, 4.1675 Å; angles 90.00, 90.00, 90.00 degrees
Closest atoms and distances in Å follow each position.
Fractional positions:
Y 0.0000 0.0000 0.0000  4 Ru 2.85, 8 Ni 2.90
Ni 0.0000 0.5000 0.5000  2 B 2.02
Ni 0.5000 0.0000 0.5000  2 B 2.02
B 0.5000 0.5000 0.5000  4 Ni 2.02, 2 Ru 2.08
Ru 0.5000 0.5000 0.0000  2 B 2.08


# CoSe2Br

A relaxed structure of CoSe2Br (PBE, Alexandria).

Values from the calculation:
**Formation energy without anion corrections**: -0.110 eV/atom
**ΔE to the lowest computed polymorph**: 0.39 eV/f.u.
**Space-group type**: P2_1/c
**Mass density**: 5.06 g/cm3
**DFT total energy**: -64.7 eV for the cell shown

Cell lengths 6.7765, 5.2410, 12.5750 Å; angles 90.00, 119.19, 90.00 degrees
Closest atoms and distances in Å follow each position.
Fractional positions:
Co 0.0513 0.1685 0.3895  3 Se 2.28-2.34, 2 Br 2.41-2.44
Co 0.0513 0.3315 0.8895  3 Se 2.28-2.34, 2 Br 2.41-2.44
Co 0.9487 0.6685 0.1105  3 Se 2.28-2.34, 2 Br 2.41-2.44
Co 0.9487 0.8315 0.6105  3 Se 2.28-2.34, 2 Br 2.41-2.44
Se 0.2108 0.6328 0.0460  2 Co 2.29-2.34, 1 Se 2.52
Se 0.2108 0.8672 0.5460  2 Co 2.29-2.34, 1 Se 2.52
Se 0.3360 0.0706 0.0210  1 Co 2.28, 1 Se 2.52
Se 0.3360 0.4294 0.5210  1 Co 2.28, 1 Se 2.52
Se 0.6640 0.5706 0.4790  1 Co 2.28, 1 Se 2.52
Se 0.6640 0.9294 0.9790  1 Co 2.28, 1 Se 2.52
Se 0.7892 0.1328 0.4540  2 Co 2.29-2.34, 1 Se 2.52
Se 0.7892 0.3672 0.9540  2 Co 2.29-2.34, 1 Se 2.52
Br 0.1846 0.5131 0.7601  2 Co 2.41-2.44
Br 0.1846 0.9869 0.2601  2 Co 2.41-2.44
Br 0.8154 0.0131 0.7399  2 Co 2.41-2.44
Br 0.8154 0.4869 0.2399  2 Co 2.41-2.44